No. 1
First-principles (PBE) data for a relaxed structure of Zn2NiSnCl, as listed in Alexandria.

POSCAR file:
```
Zn2NiSnCl
1.0
5.176 0.000 0.000
0.000 5.176 0.000
0.000 0.000 4.083
Zn Ni Sn Cl
2 1 1 1
Cartesian
0.000 2.588 0.000 Zn
2.588 0.000 0.000 Zn
0.000 0.000 2.042 Ni
2.588 2.588 2.042 Sn
0.000 0.000 0.000 Cl
```

## Properties
- E_form (uncorrected) (eV per atom) = 0.467
- N(E_F) (states/eV per cell) = 3.491
- volume (Å³/cell) = 109.4

---

No. 2
First-principles (PBE) data for a relaxed structure of Sr3NiCl, as listed in Alexandria.

POSCAR file:
```
Sr3NiCl
1.0
5.801 0.000 0.000
0.000 5.801 0.000
0.000 0.000 5.801
Sr Ni Cl
3 1 1
Cartesian
0.000 0.000 2.901 Sr
0.000 2.901 0.000 Sr
2.901 0.000 0.000 Sr
0.000 0.000 0.000 Ni
2.901 2.901 2.901 Cl
```

## Properties
- polymorph energy (0 for the lowest one) (eV/atom) = 0.0000
- E_form (uncorrected) (eV per atom) = -0.383
- N(E_F) (states/eV per cell) = 1.966
- volume (Å³/cell) = 195.2

---

No. 3
First-principles (PBE) data for a relaxed structure of SrNiCl6, as listed in Alexandria.

POSCAR file:
```
SrNiCl6
1.0
6.295 0.000 0.000
-3.143 5.469 0.000
-3.132 -1.817 5.864
Sr Ni Cl
1 1 6
Cartesian
0.000 0.000 0.000 Sr
-3.137 1.826 2.932 Ni
-1.325 2.136 1.640 Cl
-1.967 0.409 4.226 Cl
-2.500 3.545 4.231 Cl
2.521 0.106 1.633 Cl
1.988 3.242 1.639 Cl
1.346 1.515 4.224 Cl
```

## Properties
- E_form (uncorrected) (eV per atom) = -1.062
- volume (Å³/cell) = 201.9

---

No. 4
First-principles (PBE) data for a relaxed structure of SrNiCl3, as listed in Alexandria.

POSCAR file:
```
SrNiCl3
1.0
4.760 0.000 0.000
0.000 4.760 0.000
0.000 0.000 4.760
Sr Ni Cl
1 1 3
Cartesian
0.000 0.000 0.000 Sr
2.380 2.380 2.380 Ni
0.000 2.380 2.380 Cl
2.380 0.000 2.380 Cl
2.380 2.380 0.000 Cl
```

## Properties
- polymorph energy (0 for the lowest one) (eV/atom) = 0.0000
- E_form (uncorrected) (eV per atom) = -1.323
- N(E_F) (states/eV per cell) = 1.628
- volume (Å³/cell) = 107.8